The following is a PBE calculation of an optimized crystal structure of RbNbSb2, from Alexandria.

abc: 5.3143 5.3143 5.3143
angles: 60.00 60.00 60.00
With the nearest neighbours (Å) after each atom.
Fractional positions:
Rb 0.0000 0.0000 0.0000  8 Sb 3.25
Nb 0.5000 0.5000 0.5000  8 Sb 3.25
Sb 0.2500 0.2500 0.2500  4 Nb 3.25, 4 Rb 3.25
Sb 0.7500 0.7500 0.7500  4 Nb 3.25, 4 Rb 3.25

The calculation puts the uncorrected formation energy at 1.75 eV per formula unit.